Li2Pa3Se6 after structural relaxation. Source: the Alexandria database, functional PBE.

The volume comes out at 283 Å³/cell. For the raw formation energy, the calculation gives -1.29 eV per atom. Its total DFT energy (no corrections) is -0.4501 Ry per atom.

The structure in extended XYZ format:
```
11
Lattice="3.5008 -6.0532 0.0000 3.5008 6.0532 0.0000 -2.3152 0.0000 6.6667" Properties=species:S:1:pos:R:3 pbc="T T T"
Li 3.5008 4.0346 0.0000
Li 3.5008 -4.0346 0.0000
Pa -1.1576 0.0000 3.3333
Pa 2.3432 1.9482 3.3333
Pa 2.3432 -1.9482 3.3333
Se -0.0063 2.0523 5.0246
Se 1.1388 0.0000 1.5720
Se -0.0063 -2.0523 5.0246
Se 4.6927 2.0523 1.6421
Se 3.5476 0.0000 5.0947
Se 4.6927 -2.0523 1.6421
```